1.
Below is crystalline MgCd at its relaxed geometry, with properties calculated at the PBE level.

It has space group Pbcm (No. 57), with a = 10.307 Å, b = 8.598 Å, c = 6.047 Å, α = 90.00°, β = 90.00° and γ = 90.00°. Symmetry generates all atoms from Mg at (0.127, 0.250, 0.000), Mg at (0.168, 0.642, 0.250), Mg at (0.348, 0.044, 0.250), Cd at (0.068, 0.545, 0.750), Cd at (0.365, 0.097, 0.750) and Cd at (0.414, 0.750, 0.000).



2.
Below is crystalline Mg2Cd at its relaxed geometry, with properties calculated at the PBE level.

It has space group Cmcm (No. 63), with a = 3.274 Å, b = 15.801 Å, c = 5.190 Å, α = 90.00°, β = 90.00° and γ = 90.00°. Symmetry generates all atoms from Mg at (0.000, 0.057, 0.250), Mg at (0.000, 0.387, 0.250) and Cd at (0.000, 0.280, 0.750).



3.
Below is crystalline MgCd3 at its relaxed geometry, with properties calculated at the PBE level.

The calculation puts the offset from the most stable computed form at 0.0061 eV/atom.

It has space group Pmmn (No. 59, origin choice 2), with a = 5.289 Å, b = 6.288 Å, c = 5.254 Å, α = 90.00°, β = 90.00° and γ = 90.00°. Symmetry generates all atoms from Mg at (0.250, 0.250, 0.164), Cd at (0.250, 0.002, 0.667) and Cd at (0.250, 0.750, 0.168).



4.
Below is crystalline Mg4Cd at its relaxed geometry, with properties calculated at the PBE level.

The calculation puts the offset from the most stable computed form at 0.2298 eV/atom.

It has space group I4/mmm (No. 139), with a = 4.043 Å, b = 4.043 Å, c = 15.417 Å, α = 90.00°, β = 90.00° and γ = 90.00°. Symmetry generates all atoms from Mg at (0.000, 0.000, 0.095), Mg at (0.000, 0.500, 0.250) and Cd at (0.000, 0.000, 0.500).



Number 1: calculated formation energy -0.0639 eV/atom, total energy -0.097 Ry per atom. Number 2: calculated formation energy -0.0387 eV/atom, total energy -0.103 Ry per atom. Number 3: calculated formation energy -0.0647 eV/atom, total energy -0.085 Ry per atom. Number 4: calculated formation energy 0.1840 eV/atom, total energy -0.094 Ry per atom.